FeCo2O6: relaxed, PBE with a Hubbard U.

Output
ρ: 4.165 g/cm3
size of the total moment: 5.99 μB per formula unit
energy above the most stable polymorph in this dataset: 2 meV per atom
Fermi-level density of states: 6.768 states/eV per cell

a = 4.984 Å, b = 4.984 Å, c = 9.920 Å
α = 90.00°, β = 90.00°, γ = 119.22°
Last column: magnetic moment on the atom in μB.
Sites, in units of the cell vectors:
Co 0.836 0.164 0.500  1.21
Co 0.336 0.664 0.000  1.21
Co 0.664 0.336 0.000  1.21
Co 0.164 0.836 0.500  1.21
Fe 0.500 0.500 0.500  3.93
Fe 0.000 0.000 0.000  3.93
O 0.646 0.646 0.099  0.05
O 0.854 0.854 0.599  0.05
O 0.146 0.146 0.401  0.05
O 0.502 0.839 0.406  -0.11
O 0.354 0.354 0.901  0.05
O 0.661 0.998 0.906  -0.11
O 0.002 0.339 0.094  -0.11
O 0.161 0.498 0.594  -0.11
O 0.498 0.161 0.594  -0.11
O 0.839 0.502 0.406  -0.11
O 0.998 0.661 0.906  -0.11
O 0.339 0.002 0.094  -0.11